# InAgPd

An optimized crystal structure of InAgPd (PBE, Alexandria via LeMat-Bulk).

Cell and atoms, written as CIF:
```
data_InAgPd
_cell_length_a 2.874
_cell_length_b 2.874
_cell_length_c 15.239
_cell_angle_alpha 90.00
_cell_angle_beta 90.00
_cell_angle_gamma 90.00
_space_group_name_H-M_alt 'I 4 m m'
_space_group_IT_number 107
_space_group_name_Hall 'I 4 -2'
loop_
_atom_site_label
_atom_site_fract_x
_atom_site_fract_y
_atom_site_fract_z
In1 0.000 0.000 0.000
Ag1 0.000 0.000 0.348
Pd1 0.000 0.000 0.171
```

Calculated values
* crystal system: tetragonal
* energy above the lowest structure with this stoichiometry: 576 meV/atom
* size of the total moment: 0.00 μB/f.u.

***

# Zr2Be15Au2

An optimized crystal structure of Zr2Be15Au2 (PBE, Alexandria via LeMat-Bulk).

Cell and atoms, written as CIF:
```
data_Zr2Be15Au2
_cell_length_a 7.8263
_cell_length_b 7.8263
_cell_length_c 11.5542
_cell_angle_alpha 90.00
_cell_angle_beta 90.00
_cell_angle_gamma 120.00
_space_group_name_H-M_alt 'R -3 m'
_space_group_IT_number 166
_space_group_name_Hall '-R 3 2"'
loop_
_atom_site_label
_atom_site_fract_x
_atom_site_fract_y
_atom_site_fract_z
Zr1 0.0000 0.0000 0.1466
Be1 0.0000 0.2927 0.5000
Be2 0.0000 0.5000 0.0000
Be3 0.0100 0.5050 0.6587
Au1 0.0000 0.0000 0.3854
```

Calculated values
* total energy: -250.1 eV/cell
* crystal system: trigonal
* size of the total moment: 0.00 μB/f.u.

***

# La2NpAs3Rh4

An optimized crystal structure of La2NpAs3Rh4 (PBE, Alexandria via LeMat-Bulk).

Cell and atoms, written as CIF:
```
data_La2NpAs3Rh4
_cell_length_a 4.209
_cell_length_b 4.209
_cell_length_c 11.246
_cell_angle_alpha 90.00
_cell_angle_beta 90.00
_cell_angle_gamma 90.00
_space_group_name_H-M_alt 'P -4 m 2'
_space_group_IT_number 115
loop_
_space_group_symop_operation_xyz
'x,y,z'
'y,-x,-z'
'-x,-y,z'
'-y,x,-z'
'-x,y,z'
'-y,-x,-z'
'x,-y,z'
'y,x,-z'
loop_
_atom_site_label
_atom_site_fract_x
_atom_site_fract_y
_atom_site_fract_z
La1 0.000 0.500 0.228
Np1 0.000 0.000 0.500
As1 0.000 0.500 0.872
As2 0.500 0.500 0.500
Rh1 0.000 0.000 0.000
Rh2 0.000 0.500 0.652
Rh3 0.500 0.500 0.000
```

Calculated values
* total energy: -74.9 eV/cell
* crystal system: tetragonal
* size of the total moment: 4.00 μB/f.u.

***

# Ta2Ti2Pt

An optimized crystal structure of Ta2Ti2Pt (PBE, Alexandria via LeMat-Bulk).

Cell and atoms, written as CIF:
```
data_Ta2Ti2Pt
_cell_length_a 3.804
_cell_length_b 3.804
_cell_length_c 12.720
_cell_angle_alpha 90.00
_cell_angle_beta 90.00
_cell_angle_gamma 90.00
_space_group_name_H-M_alt 'I 4/m m m'
_space_group_IT_number 139
_space_group_name_Hall '-I 4 2'
loop_
_atom_site_label
_atom_site_fract_x
_atom_site_fract_y
_atom_site_fract_z
Ta1 0.000 0.500 0.250
Ti1 0.000 0.000 0.088
Pt1 0.000 0.000 0.500
```

Calculated values
* crystal system: tetragonal
* energy above the lowest structure with this stoichiometry: 917 meV/atom
* size of the total moment: 0.00 μB/f.u.

***

# CsLaBeTe3

An optimized crystal structure of CsLaBeTe3 (PBE, Alexandria via LeMat-Bulk).

Cell and atoms, written as CIF:
```
data_CsLaBeTe3
_cell_length_a 17.128
_cell_length_b 5.399
_cell_length_c 10.094
_cell_angle_alpha 90.00
_cell_angle_beta 103.28
_cell_angle_gamma 90.00
_space_group_name_H-M_alt 'C 1 2/m 1'
_space_group_IT_number 12
loop_
_space_group_symop_operation_xyz
'x,y,z'
'-x,-y,-z'
'-x,y,-z'
'x,-y,z'
'x+1/2,y+1/2,z'
'-x+1/2,-y+1/2,-z'
'-x+1/2,y+1/2,-z'
'x+1/2,-y+1/2,z'
loop_
_atom_site_label
_atom_site_fract_x
_atom_site_fract_y
_atom_site_fract_z
Cs1 0.144 0.000 0.055
La1 0.146 0.000 0.563
Be1 0.009 0.500 0.299
Te1 0.005 0.000 0.297
Te2 0.139 0.500 0.759
Te3 0.160 0.500 0.355
```

Calculated values
* formation energy without anion corrections: -866 meV/atom
* crystal system: monoclinic
* size of the total moment: 0.00 μB/f.u.

***

# LiPrZn2Au2

An optimized crystal structure of LiPrZn2Au2 (PBE, Alexandria via LeMat-Bulk).

Cell and atoms, written as CIF:
```
data_LiPrZn2Au2
_cell_length_a 4.5320
_cell_length_b 4.5320
_cell_length_c 6.7261
_cell_angle_alpha 90.00
_cell_angle_beta 90.00
_cell_angle_gamma 120.00
_space_group_name_H-M_alt 'P -3 m 1'
_space_group_IT_number 164
_space_group_name_Hall '-P 3 2"'
loop_
_atom_site_label
_atom_site_fract_x
_atom_site_fract_y
_atom_site_fract_z
Li1 0.0000 0.0000 0.0000
Pr1 0.0000 0.0000 0.5000
Zn1 0.3333 0.6667 0.8127
Au1 0.3333 0.6667 0.2193
```

Calculated values
* total energy: -19.0 eV/cell
* crystal system: trigonal
* size of the total moment: 0.00 μB/f.u.